1.
{
  "formula": "Zn2SbAu",
  "functional": "PBE",
  "state": "optimized geometry",
  "space_group": "Pmm2",
  "cell": [[3.306, 0.000, 0.000], [0.000, 4.125, 0.000], [0.000, 0.000, 5.847]],
  "species": ["Zn", "Zn", "Sb", "Au"],
  "fractional_positions": [[0.000, 0.000, 0.000], [0.500, 0.500, 0.311], [0.500, 0.500, 0.811], [0.000, 0.000, 0.441]]
}

2.
{
  "formula": "ZnSb4Au2",
  "functional": "PBE",
  "state": "optimized geometry",
  "space_group": "I4/mmm",
  "cell": [[-2.550, 2.550, 8.155], [2.550, -2.550, 8.155], [2.550, 2.550, -8.155]],
  "species": ["Zn", "Sb", "Sb", "Sb", "Sb", "Au", "Au"],
  "fractional_positions": [[0.000, 0.000, 0.000], [0.000, 0.500, 0.500], [0.250, 0.250, 0.000], [0.500, 0.000, 0.500], [0.750, 0.750, 0.000], [0.411, 0.411, 0.000], [0.589, 0.589, 0.000]]
}

3.
{
  "formula": "Zn2SbAu",
  "functional": "PBE",
  "state": "optimized geometry",
  "space_group": "Cm",
  "cell": [[4.219, -1.656, 0.000], [4.219, 1.656, 0.000], [-1.018, 0.000, 5.657]],
  "species": ["Zn", "Zn", "Sb", "Au"],
  "fractional_positions": [[0.000, 0.000, 0.000], [0.746, 0.746, 0.202], [0.509, 0.509, 0.499], [0.262, 0.262, 0.811]]
}

4.
{
  "formula": "ZnSbAu3",
  "functional": "PBE",
  "state": "optimized geometry",
  "space_group": "Pnma",
  "polymorph_energy_ev_per_fu": 0.00,
  "cell": [[8.161, 0.000, 0.000], [0.000, 10.325, 0.000], [0.000, 0.000, 4.748]],
  "species": ["Zn", "Zn", "Zn", "Zn", "Sb", "Sb", "Sb", "Sb", "Au", "Au", "Au", "Au", "Au", "Au", "Au", "Au", "Au", "Au", "Au", "Au"],
  "fractional_positions": [[0.000, 0.000, 0.000], [0.000, 0.500, 0.000], [0.500, 0.000, 0.500], [0.500, 0.500, 0.500], [0.238, 0.250, 0.132], [0.262, 0.750, 0.632], [0.738, 0.250, 0.368], [0.762, 0.750, 0.868], [0.028, 0.750, 0.215], [0.168, 0.047, 0.508], [0.168, 0.453, 0.508], [0.332, 0.547, 0.008], [0.332, 0.953, 0.008], [0.472, 0.250, 0.715], [0.528, 0.750, 0.285], [0.668, 0.047, 0.992], [0.668, 0.453, 0.992], [0.832, 0.547, 0.492], [0.832, 0.953, 0.492], [0.972, 0.250, 0.785]]
}

5.
{
  "formula": "Zn2Sb2Au",
  "functional": "PBE",
  "state": "optimized geometry",
  "space_group": "I4/mmm",
  "polymorph_energy_ev_per_fu": 0.17,
  "cell": [[-1.877, 1.877, 7.805], [1.877, -1.877, 7.805], [1.877, 1.877, -7.805]],
  "species": ["Zn", "Zn", "Sb", "Sb", "Au"],
  "fractional_positions": [[0.250, 0.750, 0.500], [0.750, 0.250, 0.500], [0.109, 0.109, 0.000], [0.891, 0.891, 0.000], [0.500, 0.500, 0.000]]
}

6.
{
  "formula": "Zn2SbAu",
  "functional": "PBE",
  "state": "optimized geometry",
  "space_group": "Pm",
  "cell": [[4.284, 0.000, 0.000], [0.000, 4.483, 0.000], [-0.490, 0.000, 4.266]],
  "species": ["Zn", "Zn", "Sb", "Au"],
  "fractional_positions": [[0.000, 0.000, 0.000], [0.221, 0.500, 0.792], [0.731, 0.500, 0.281], [0.432, 0.000, 0.573]]
}

7.
{
  "formula": "Zn12Sb5Au3",
  "functional": "PBE",
  "state": "optimized geometry",
  "space_group": "Ia-3d",
  "cell": [[-7.738, 7.738, 7.738], [7.738, -7.738, 7.738], [7.738, 7.738, -7.738]],
  "species": ["Zn", "Zn", "Zn", "Zn", "Zn", "Zn", "Zn", "Zn", "Zn", "Zn", "Zn", "Zn", "Zn", "Zn", "Zn", "Zn", "Zn", "Zn", "Zn", "Zn", "Zn", "Zn", "Zn", "Zn", "Zn", "Zn", "Zn", "Zn", "Zn", "Zn", "Zn", "Zn", "Zn", "Zn", "Zn", "Zn", "Zn", "Zn", "Zn", "Zn", "Zn", "Zn", "Zn", "Zn", "Zn", "Zn", "Zn", "Zn", "Sb", "Sb", "Sb", "Sb", "Sb", "Sb", "Sb", "Sb", "Sb", "Sb", "Sb", "Sb", "Sb", "Sb", "Sb", "Sb", "Sb", "Sb", "Sb", "Sb", "Au", "Au", "Au", "Au", "Au", "Au", "Au", "Au", "Au", "Au", "Au", "Au"],
  "fractional_positions": [[0.073, 0.237, 0.150], [0.073, 0.336, 0.923], [0.077, 0.650, 0.413], [0.077, 0.927, 0.664], [0.087, 0.737, 0.664], [0.087, 0.850, 0.423], [0.150, 0.073, 0.237], [0.150, 0.577, 0.913], [0.164, 0.237, 0.587], [0.164, 0.427, 0.577], [0.237, 0.150, 0.073], [0.237, 0.587, 0.164], [0.263, 0.336, 0.913], [0.263, 0.427, 0.350], [0.336, 0.913, 0.263], [0.336, 0.923, 0.073], [0.350, 0.263, 0.427], [0.350, 0.587, 0.923], [0.413, 0.077, 0.650], [0.413, 0.836, 0.763], [0.423, 0.087, 0.850], [0.423, 0.836, 0.573], [0.427, 0.350, 0.263], [0.427, 0.577, 0.164], [0.573, 0.423, 0.836], [0.573, 0.650, 0.737], [0.577, 0.164, 0.427], [0.577, 0.913, 0.150], [0.587, 0.164, 0.237], [0.587, 0.923, 0.350], [0.650, 0.413, 0.077], [0.650, 0.737, 0.573], [0.664, 0.077, 0.927], [0.664, 0.087, 0.737], [0.737, 0.573, 0.650], [0.737, 0.664, 0.087], [0.763, 0.413, 0.836], [0.763, 0.850, 0.927], [0.836, 0.573, 0.423], [0.836, 0.763, 0.413], [0.850, 0.423, 0.087], [0.850, 0.927, 0.763], [0.913, 0.150, 0.577], [0.913, 0.263, 0.336], [0.923, 0.073, 0.336], [0.923, 0.350, 0.587], [0.927, 0.664, 0.077], [0.927, 0.763, 0.850], [0.000, 0.000, 0.000], [0.000, 0.000, 0.500], [0.000, 0.500, 0.000], [0.000, 0.500, 0.500], [0.125, 0.750, 0.875], [0.125, 0.875, 0.250], [0.250, 0.125, 0.875], [0.250, 0.625, 0.375], [0.375, 0.250, 0.625], [0.375, 0.625, 0.750], [0.500, 0.000, 0.000], [0.500, 0.000, 0.500], [0.500, 0.500, 0.000], [0.500, 0.500, 0.500], [0.625, 0.375, 0.250], [0.625, 0.750, 0.375], [0.750, 0.375, 0.625], [0.750, 0.875, 0.125], [0.875, 0.125, 0.750], [0.875, 0.250, 0.125], [0.125, 0.250, 0.375], [0.125, 0.375, 0.750], [0.250, 0.375, 0.125], [0.250, 0.875, 0.625], [0.375, 0.125, 0.250], [0.375, 0.750, 0.125], [0.625, 0.250, 0.875], [0.625, 0.875, 0.750], [0.750, 0.125, 0.375], [0.750, 0.625, 0.875], [0.875, 0.625, 0.250], [0.875, 0.750, 0.625]]
}

8.
{
  "formula": "ZnSb2Au",
  "functional": "PBE",
  "state": "optimized geometry",
  "space_group": "P4mm",
  "cell": [[3.561, 0.000, 0.000], [0.000, 3.561, 0.000], [0.000, 0.000, 7.330]],
  "species": ["Zn", "Sb", "Sb", "Au"],
  "fractional_positions": [[0.000, 0.000, 0.000], [0.000, 0.000, 0.399], [0.500, 0.500, 0.791], [0.500, 0.500, 0.191]]
}

Number 1: formation energy (no corrections) 42 meV per atom. Number 2: formation energy (no corrections) 325 meV per atom. Number 3: formation energy (no corrections) -16 meV per atom. Number 4: formation energy (no corrections) -80 meV per atom. Number 5: formation energy (no corrections) 166 meV per atom. Number 6: formation energy (no corrections) 20 meV per atom. Number 7: formation energy (no corrections) 29 meV per atom. Number 8: formation energy (no corrections) 95 meV per atom.